# 1
This record from the Alexandria database describes a geometry-optimized LiAgTeF6 structure. The functional is PBE.

Energy relative to the elements, uncorrected (eV/f.u.): -18.4
DOS(E_F) (states/eV/cell): 0.00
Theoretical density (g cm⁻³): 4.3
E (eV per formula unit): -37.583

POSCAR file:
```
LiAgTeF6
1.0
-1.560 1.143 -5.353
-5.148 -1.555 -1.859
-1.834 4.327 1.456
Li Ag Te F
1 1 1 6
Cartesian
-5.359 1.819 -4.102
-3.369 5.405 -3.918
-3.071 1.831 -1.742
-3.869 1.896 -5.369
-2.139 3.431 -0.971
-4.080 3.218 -2.781
-4.434 2.243 -0.330
-4.638 0.666 -2.695
-6.606 0.616 -5.016
```

# 2
This record from the Alexandria database describes a geometry-optimized BaAcSn structure. The functional is PBE.

DOS(E_F) (states/eV/cell): 2.13
Theoretical density (g cm⁻³): 6.7
E (eV per formula unit): -11.038
Excess energy over the best structure of this formula in the dataset (meV per atom): 198
DFT formation energy (meV/atom): -334.6

POSCAR file:
```
BaAcSn
1.0
-2.097 0.204 3.893
4.408 -2.369 2.498
-0.300 5.567 -0.453
Ac Ba Sn
1 1 1
Cartesian
0.718 2.975 1.554
1.395 0.416 4.195
-0.102 0.010 0.190
```

# 3
This record from the Alexandria database describes a geometry-optimized SmIrBr structure. The functional is PBE.

Energy relative to the elements, uncorrected (eV/f.u.): -2.8
DOS(E_F) (states/eV/cell): 1.90
Theoretical density (g cm⁻³): 8.3
E (eV per formula unit): -18.021
Excess energy over the best structure of this formula in the dataset (meV per atom): 330

POSCAR file:
```
SmIrBr
1.0
4.094 0.000 0.000
2.047 10.483 -1.869
2.047 -9.213 5.571
Sm Ir Br
2 2 2
Cartesian
4.094 -3.005 2.240
4.094 4.276 1.462
6.141 -3.227 4.373
2.047 4.498 -0.672
2.047 2.036 0.339
6.141 -0.765 3.363
```

# 4
This record from the Alexandria database describes a geometry-optimized Tc2IrRu structure. The functional is PBE.

DOS(E_F) (states/eV/cell): 8.70
Theoretical density (g cm⁻³): 9.6
E (eV per formula unit): -34.416
Excess energy over the best structure of this formula in the dataset (meV per atom): 1312
DFT formation energy (meV/atom): 1113.3

POSCAR file:
```
Tc2IrRu
1.0
5.476 0.000 0.000
0.000 5.476 0.000
2.738 2.738 5.670
Ru Ir Tc
2 2 4
Cartesian
2.738 2.738 0.000
2.738 5.476 2.835
0.000 0.000 0.000
5.476 2.738 2.835
4.089 1.369 1.417
1.386 4.107 1.417
4.107 4.124 4.252
6.844 6.827 4.252
```

# 5
This record from the Alexandria database describes a geometry-optimized TbTh4Sn2 structure. The functional is PBE.

DOS(E_F) (states/eV/cell): 9.39
Theoretical density (g cm⁻³): 8.9
E (eV per formula unit): -38.348
DFT formation energy (meV/atom): 566.7

POSCAR file:
```
TbTh4Sn2
1.0
-0.396 1.264 -5.299
-5.433 -0.477 0.292
2.315 7.634 4.464
Tb Th Sn
1 4 2
Cartesian
0.000 0.000 0.000
-3.299 5.548 -1.244
-0.215 2.873 0.702
-2.716 -0.239 0.146
-0.198 0.632 -2.649
-3.074 2.525 -1.983
-0.440 5.896 1.440
```

# 6
This record from the Alexandria database describes a geometry-optimized Cd2Br structure. The functional is PBE.

Energy relative to the elements, uncorrected (eV/f.u.): -0.6
DOS(E_F) (states/eV/cell): 5.79
Theoretical density (g cm⁻³): 6.0
E (eV per formula unit): -4.141
Excess energy over the best structure of this formula in the dataset (meV per atom): 68

POSCAR file:
```
Cd2Br
1.0
5.847 0.000 0.000
0.000 5.846 0.000
0.000 0.000 9.793
Br Cd
4 8
Cartesian
1.462 2.925 3.674
4.385 5.844 8.570
1.462 0.002 1.223
4.385 2.921 6.119
1.462 5.844 7.642
4.385 2.925 2.745
1.462 2.921 7.048
4.385 0.002 2.151
1.462 5.843 4.591
4.385 2.925 9.487
1.462 2.921 0.306
4.385 0.002 5.203
```